! Cd2AsN (PBE-GGA, optimized geometry); values from VASP
&SYSTEM
  ibrav = 0, nat = 8, ntyp = 3
/
ATOMIC_SPECIES
Cd 112.41 Cd.upf
As 74.92 As.upf
N 14.01 N.upf
CELL_PARAMETERS angstrom
5.966 0.000 0.000
0.000 5.966 0.000
2.983 2.983 4.913
ATOMIC_POSITIONS angstrom
Cd 3.999 1.491 1.228
Cd 1.966 4.474 1.228
Cd 7.457 6.982 3.684
Cd 4.474 4.949 3.684
As 0.000 0.000 0.000
As 5.966 2.983 2.456
N 2.983 2.983 0.000
N 2.983 5.966 2.456
! DOS at the Fermi energy in states/eV per atom: 0.294
! Crystal system: tetragonal
! Symmetry: I-42d (122)
! Uncorrected formation energy in kcal/mol of atoms: 13.7
! Excess energy over the best structure of this formula in the dataset in meV per atom: 0